# 1
MnZn3Cr8Se16: single point on PBEsol structure, SCAN.

SG	No. 160
ΔE_f (raw)	-0.9044	eV/atom
volume	567	Å³ per cell

Lattice parameters (Å, degrees): 12.775 12.775 12.775 33.56 33.56 33.56
Fractional positions:
Mn 0.000 0.000 0.000
Zn 0.125 0.125 0.125
Zn 0.500 0.500 0.500
Zn 0.625 0.625 0.625
Cr 0.062 0.063 0.562
Cr 0.062 0.562 0.062
Cr 0.063 0.563 0.563
Cr 0.312 0.312 0.312
Cr 0.562 0.062 0.062
Cr 0.563 0.063 0.563
Cr 0.563 0.563 0.063
Cr 0.813 0.813 0.813
Se 0.162 0.703 0.703
Se 0.193 0.193 0.193
Se 0.203 0.203 0.662
Se 0.203 0.662 0.203
Se 0.422 0.422 0.963
Se 0.422 0.963 0.422
Se 0.433 0.433 0.433
Se 0.463 0.923 0.923
Se 0.662 0.203 0.203
Se 0.693 0.693 0.693
Se 0.703 0.162 0.703
Se 0.703 0.703 0.162
Se 0.923 0.463 0.923
Se 0.923 0.923 0.463
Se 0.932 0.932 0.932
Se 0.963 0.422 0.422


# 2
MnCr2Si: single point on PBEsol structure, SCAN.

SG	No. 71
ΔE_f (raw)	-0.2757	eV/atom
volume	43	Å³ per cell

Lattice parameters (Å, degrees): 4.631 4.631 4.631 144.08 131.38 61.91
Fractional positions:
Mn 0.000 0.000 0.000
Cr 0.245 0.745 0.500
Cr 0.755 0.255 0.500
Si 0.500 0.500 0.000


# 3
MnCrSi: single point on PBEsol structure, SCAN.

SG	No. 107
ΔE_f (raw)	-0.2485	eV/atom
volume	32	Å³ per cell

Lattice parameters (Å, degrees): 4.638 4.638 4.638 145.23 145.23 49.99
Fractional positions:
Mn 0.000 0.000 0.000
Cr 0.661 0.661 0.000
Si 0.335 0.335 0.000